Here is a relaxed CeOF crystal from Alexandria via LeMat-Bulk. Energies are from PBE.

Calculated values
Formation energy without anion corrections ... -1049 kJ/mol of formula units
Mass density ... 6.38 g cm⁻³
D(E_F) ... 6.78 states/eV/f.u.

abc: 5.670 5.670 5.670
angles: 90.00 90.00 90.00
Space group F-43m (No. 216)
Unique sites:
1 Ce 0.000 0.000 0.000
2 O 0.250 0.250 0.750
3 F 0.250 0.250 0.250